# 1
# RbCr2IrAu | the Alexandria database | PBE-GGA | optimized geometry
# DOS(E_F): 3.17 states/eV/cell
# Calculated total energy: -3.919 eV per atom
data_RbCr2IrAu
_chemical_formula_sum 'Rb1 Cr2 Ir1 Au1'
_symmetry_space_group_name_H-M 'P 4/m m m'
_symmetry_Int_Tables_number 123
_symmetry_space_group_name_Hall '-P 4 2'
_cell_length_a 5.1663
_cell_length_b 5.1663
_cell_length_c 4.8542
_cell_angle_alpha 90.00
_cell_angle_beta 90.00
_cell_angle_gamma 90.00
loop_
_atom_site_label
_atom_site_type_symbol
_atom_site_fract_x
_atom_site_fract_y
_atom_site_fract_z
Rb1 Rb 0.0000 0.0000 0.0000
Cr1 Cr 0.0000 0.5000 0.0000
Ir1 Ir 0.0000 0.0000 0.5000
Au1 Au 0.5000 0.5000 0.5000


# 2
# Ca5P4 | the Alexandria database | PBE-GGA | optimized geometry
# DOS(E_F): 10.32 states/eV/cell
# Polymorph energy (0 for the lowest one): 0 meV/atom
# Calculated total energy: -4.462 eV per atom
data_Ca5P4
_chemical_formula_sum 'Ca10 P8'
_symmetry_space_group_name_H-M 'P 63/m c m'
_symmetry_Int_Tables_number 193
_symmetry_space_group_name_Hall '-P 6c 2'
_cell_length_a 8.5710
_cell_length_b 8.5710
_cell_length_c 6.7602
_cell_angle_alpha 90.00
_cell_angle_beta 90.00
_cell_angle_gamma 120.00
loop_
_atom_site_label
_atom_site_type_symbol
_atom_site_fract_x
_atom_site_fract_y
_atom_site_fract_z
Ca1 Ca 0.0000 0.2548 0.2500
Ca2 Ca 0.3333 0.6667 0.0000
P1 P 0.0000 0.0000 0.0000
P2 P 0.0000 0.4109 0.7500


# 3
# KZr2Tc | the Alexandria database | PBE-GGA | optimized geometry
# DOS(E_F): 22.89 states/eV/cell
# Polymorph energy (0 for the lowest one): 985 meV/atom
# Calculated total energy: -6.019 eV per atom
data_KZr2Tc
_chemical_formula_sum 'K4 Zr8 Tc4'
_symmetry_space_group_name_H-M 'F -4 3 m'
_symmetry_Int_Tables_number 216
_symmetry_space_group_name_Hall 'F -4 2 3'
_cell_length_a 7.0940
_cell_length_b 7.0940
_cell_length_c 7.0940
_cell_angle_alpha 90.00
_cell_angle_beta 90.00
_cell_angle_gamma 90.00
loop_
_atom_site_label
_atom_site_type_symbol
_atom_site_fract_x
_atom_site_fract_y
_atom_site_fract_z
K1 K 0.0000 0.0000 0.0000
Zr1 Zr 0.0000 0.0000 0.5000
Zr2 Zr 0.2500 0.2500 0.7500
Tc1 Tc 0.2500 0.2500 0.2500


# 4
# Na2CdCl | the Alexandria database | PBE-GGA | optimized geometry
# ΔE_f (raw): -0.6885 eV/atom
# DOS(E_F): 8.42 states/eV/cell
# Polymorph energy (0 for the lowest one): 139 meV/atom
# Calculated total energy: -2.038 eV per atom
data_Na2CdCl
_chemical_formula_sum 'Na8 Cd4 Cl4'
_symmetry_space_group_name_H-M 'I -4 2 d'
_symmetry_Int_Tables_number 122
_symmetry_space_group_name_Hall 'I -4 2bw'
_cell_length_a 7.9523
_cell_length_b 7.9523
_cell_length_c 7.7397
_cell_angle_alpha 90.00
_cell_angle_beta 90.00
_cell_angle_gamma 90.00
loop_
_atom_site_label
_atom_site_type_symbol
_atom_site_fract_x
_atom_site_fract_y
_atom_site_fract_z
Na1 Na 0.1919 0.2500 0.1250
Cd1 Cd 0.0000 0.0000 0.5000
Cl1 Cl 0.0000 0.0000 0.0000


# 5
# CoHRu3 | the Alexandria database | PBE-GGA | optimized geometry
# DOS(E_F): 4.23 states/eV/cell
# Polymorph energy (0 for the lowest one): 1869 meV/atom
# Calculated total energy: -5.585 eV per atom
data_CoHRu3
_chemical_formula_sum 'Co1 H1 Ru3'
_symmetry_space_group_name_H-M 'P m -3 m'
_symmetry_Int_Tables_number 221
_symmetry_space_group_name_Hall '-P 4 2 3'
_cell_length_a 4.4838
_cell_length_b 4.4838
_cell_length_c 4.4838
_cell_angle_alpha 90.00
_cell_angle_beta 90.00
_cell_angle_gamma 90.00
loop_
_atom_site_label
_atom_site_type_symbol
_atom_site_fract_x
_atom_site_fract_y
_atom_site_fract_z
Co1 Co 0.0000 0.0000 0.0000
H1 H 0.5000 0.5000 0.5000
Ru1 Ru 0.0000 0.0000 0.5000


# 6
# CeDy3Al4 | the Alexandria database | PBE-GGA | optimized geometry
# DOS(E_F): 7.81 states/eV/cell
# Calculated total energy: -4.693 eV per atom
data_CeDy3Al4
_chemical_formula_sum 'Ce1 Dy3 Al4'
_symmetry_space_group_name_H-M 'P m m m'
_symmetry_Int_Tables_number 47
_cell_length_a 3.5812
_cell_length_b 5.1359
_cell_length_c 10.3172
_cell_angle_alpha 90.00
_cell_angle_beta 90.00
_cell_angle_gamma 90.00
loop_
_symmetry_equiv_pos_as_xyz
'x,y,z'
'-x,-y,-z'
'-x,-y,z'
'x,y,-z'
'x,-y,-z'
'-x,y,z'
'-x,y,-z'
'x,-y,z'
loop_
_atom_site_label
_atom_site_type_symbol
_atom_site_fract_x
_atom_site_fract_y
_atom_site_fract_z
Ce1 Ce 0.0000 0.0000 0.0000
Dy1 Dy 0.0000 0.0000 0.5000
Dy2 Dy 0.0000 0.5000 0.2510
Al1 Al 0.5000 0.0000 0.2557
Al2 Al 0.5000 0.5000 0.0000
Al3 Al 0.5000 0.5000 0.5000